4
Lattice="-1.547 2.259 6.409 1.547 -2.259 6.409 1.547 2.259 -6.409" Properties=species:S:1:pos:R:3 comment="GGA-PBE Cd2RuPb, relaxed" final_energy_ev_per_atom=-3.48 mass_density_g_cm3=9.9 pbc="T T T"
Cd 0.000 0.000 2.447
Cd 0.000 0.000 10.370
Ru 1.547 0.000 0.000
Pb 0.000 2.259 0.000

8
Lattice="-3.752 3.752 2.785 3.752 -3.752 2.785 3.752 3.752 -2.785" Properties=species:S:1:pos:R:3 comment="GGA-PBE CdRu2Pb, relaxed" final_energy_ev_per_atom=-4.88 mass_density_g_cm3=11.0 pbc="T T T"
Cd 0.000 0.000 0.000
Cd 0.000 3.752 1.393
Ru 1.876 -1.841 2.089
Ru 1.910 1.876 0.696
Ru 1.876 5.593 -0.696
Ru 1.841 1.876 3.482
Pb 3.752 0.000 1.393
Pb 0.000 0.000 2.785

5
Lattice="-1.856 1.856 9.410 1.856 -1.856 9.410 1.856 1.856 -9.410" Properties=species:S:1:pos:R:3 comment="GGA-PBE Cd2RuPb2, relaxed" final_energy_ev_per_atom=-3.19 mass_density_g_cm3=9.5 pbc="T T T"
Cd 1.856 0.000 4.705
Cd 0.000 1.856 4.705
Ru 0.000 0.000 0.000
Pb 0.000 0.000 7.839
Pb 0.000 0.000 10.980

| no. | D(E_F) (states/eV per cell) |
| --- | --- |
| 1 | 1.3 |
| 2 | 11.2 |
| 3 | 3.3 |